# 1
Density functional theory data (PBE) for a geometry-optimized La2AsO2 structure.

a b c (Å): 3.997 3.997 7.346
angles (deg): 74.22 74.22 90.00
Fractional coordinates of all 5 atoms:
As (0.000, 0.000, 0.000)
O (0.750, 0.250, 0.500)
O (0.250, 0.750, 0.500)
La (0.343, 0.343, 0.315)
La (0.657, 0.657, 0.685)

Summary:
**Mass density**: 5.9 g/cm³
**Symmetry**: I4/mmm (139)
**Calculated volume**: 21.66 Å³/atom
**Energy**: -7.569 eV/atom
**Magnetic moment**: 0.0 μB per cell

---

# 2
Density functional theory data (PBE) for a geometry-optimized Tb2Al4ZnIr3 structure.

a b c (Å): 4.081 4.081 10.978
angles (deg): 90.00 90.00 90.00
Fractional coordinates of all 10 atoms:
Tb (0.500, 0.000, 0.243)
Tb (0.000, 0.500, 0.757)
Al (0.500, 0.500, 0.000)
Al (0.000, 0.000, 0.000)
Al (0.500, 0.000, 0.634)
Al (0.000, 0.500, 0.366)
Zn (0.500, 0.500, 0.500)
Ir (0.000, 0.000, 0.500)
Ir (0.500, 0.000, 0.863)
Ir (0.000, 0.500, 0.137)

Summary:
**Mass density**: 9.7 g/cm³
**Formation energy**: -0.7540 eV per atom
**Symmetry**: P-4m2 (115)
**Calculated volume**: 18.28 Å³/atom
**Energy**: -5.963 eV/atom
**Magnetic moment**: 0.0 μB per cell

---

# 3
Density functional theory data (PBE) for a geometry-optimized As2Pb structure.

a b c (Å): 7.014 7.014 7.014
angles (deg): 90.00 90.00 90.00
Fractional coordinates of all 12 atoms:
Pb (0.000, 0.000, 0.000)
Pb (0.500, 0.500, 0.000)
Pb (0.500, 0.000, 0.500)
Pb (0.000, 0.500, 0.500)
As (0.597, 0.597, 0.403)
As (0.403, 0.403, 0.597)
As (0.097, 0.903, 0.597)
As (0.903, 0.097, 0.403)
As (0.403, 0.097, 0.097)
As (0.597, 0.903, 0.903)
As (0.903, 0.403, 0.903)
As (0.097, 0.597, 0.097)

Summary:
**Mass density**: 6.9 g/cm³
**Relative energy among the computed polymorphs**: 83 meV per atom
**Formation energy**: 0.1347 eV per atom
**Symmetry**: Pa-3 (205)
**Calculated volume**: 28.75 Å³/atom
**Energy**: -4.201 eV/atom
**Magnetic moment**: 0.0 μB per cell

---

# 4
Density functional theory data (PBE) for a geometry-optimized Cu4AgMo structure.

a b c (Å): 4.879 4.879 4.879
angles (deg): 60.00 60.00 60.00
Fractional coordinates of all 6 atoms:
Cu (0.375, 0.874, 0.375)
Cu (0.874, 0.375, 0.375)
Cu (0.375, 0.375, 0.874)
Cu (0.375, 0.375, 0.375)
Ag (0.000, 0.000, 0.000)
Mo (0.750, 0.750, 0.750)

Summary:
**Mass density**: 9.3 g/cm³
**Formation energy**: 0.3095 eV per atom
**Symmetry**: F-43m (216)
**Calculated volume**: 13.69 Å³/atom
**Energy**: -4.702 eV/atom
**Magnetic moment**: 2.3 μB per cell